[1]
Here is a geometry-optimized ZrTiAs structure from the Alexandria database. Energies are from PBE-GGA.

## Properties
Its raw total energy is -7.754 eV per atom. The magnetic moment is 0.00 μB per formula unit. As for the crystal system: monoclinic. For the density of states at the Fermi level, the calculation gives 11.30 states/eV per cell. The formation energy is -0.723 eV/atom. The density comes out at 6.325 g/cm³.

```
ZrTiAs
1.0
-0.362 2.236 -4.879
-0.549 -3.136 -1.397
-11.479 -0.835 6.390
Zr Ti As
4 4 4
Direct
0.970 0.000 0.647
0.008 0.000 0.946
0.970 0.500 0.147
0.008 0.500 0.446
0.449 0.000 0.643
0.449 0.500 0.143
0.394 0.500 0.840
0.394 0.000 0.340
0.819 0.500 0.777
0.819 0.000 0.277
0.558 0.000 0.002
0.558 0.500 0.502
```

=====

[2]
Here is a geometry-optimized PuScCdBi structure from the Alexandria database. Energies are from PBE-GGA.

## Properties
Its raw total energy is -6.587 eV per atom. The magnetic moment is 7.03 μB per formula unit. As for the crystal system: cubic. For the density of states at the Fermi level, the calculation gives 11.52 states/eV per cell. The formation energy is -0.222 eV/atom. The density comes out at 9.727 g/cm³.

```
PuScCdBi
1.0
-4.240 0.451 3.117
-3.533 -3.920 0.237
-0.391 -2.943 4.369
Cd Pu Bi Sc
1 1 1 1
Direct
0.750 0.750 0.750
0.500 0.500 0.500
0.250 0.250 0.250
0.000 0.000 0.000
```

=====

[3]
Here is a geometry-optimized CsFe2AgBr6 structure from the Alexandria database. Energies are from PBE-GGA.

## Properties
Its raw total energy is -3.731 eV per atom. The magnetic moment is 8.00 μB per formula unit. As for the crystal system: monoclinic. For the density of states at the Fermi level, the calculation gives 18.57 states/eV per cell. The density comes out at 4.048 g/cm³.

```
CsFe2AgBr6
1.0
-2.019 2.461 -9.178
-9.225 -3.026 0.343
-0.239 6.682 3.670
Fe Br Cs Ag
4 12 2 2
Direct
0.696 0.874 0.204
0.874 0.696 0.704
0.304 0.126 0.796
0.126 0.304 0.296
0.538 0.681 0.117
0.462 0.319 0.883
0.836 0.884 0.973
0.116 0.164 0.527
0.319 0.462 0.383
0.897 0.416 0.210
0.103 0.584 0.790
0.164 0.116 0.027
0.416 0.897 0.710
0.584 0.103 0.290
0.884 0.836 0.473
0.681 0.538 0.617
0.801 0.199 0.750
0.199 0.801 0.250
0.393 0.607 0.750
0.607 0.393 0.250
```

=====

[4]
Here is a geometry-optimized CeNpSe3 structure from the Alexandria database. Energies are from PBE-GGA.

## Properties
Its raw total energy is -7.341 eV per atom. The calculation puts the energy above the most stable polymorph in this dataset at 0.961 kcal/mol of atoms. The magnetic moment is 4.97 μB per formula unit. As for the crystal system: orthorhombic. For the density of states at the Fermi level, the calculation gives 28.71 states/eV per cell. The density comes out at 7.808 g/cm³.

```
CeNpSe3
1.0
-1.320 3.393 -2.003
-5.994 -0.292 3.456
3.514 5.225 6.536
Np Se Ce
2 6 2
Direct
0.500 0.500 0.402
0.000 0.000 0.598
0.000 0.768 0.328
0.000 0.232 0.328
0.000 0.000 0.931
0.500 0.732 0.672
0.500 0.500 0.069
0.500 0.268 0.672
0.500 0.000 0.154
0.000 0.500 0.846
```

=====

[5]
Here is a geometry-optimized Pr3Y4S8 structure from the Alexandria database. Energies are from PBE-GGA.

## Properties
Its raw total energy is -6.916 eV per atom. The magnetic moment is 0.00 μB per formula unit. As for the crystal system: monoclinic. For the density of states at the Fermi level, the calculation gives 6.95 states/eV per cell. The density comes out at 4.734 g/cm³.

```
Pr3Y4S8
1.0
-7.421 -2.892 0.392
6.215 -4.728 1.760
2.496 5.314 5.441
S Y Pr
8 4 3
Direct
0.000 0.754 0.246
0.989 0.241 0.241
0.500 0.756 0.244
0.510 0.761 0.761
0.500 0.244 0.756
0.000 0.246 0.754
0.490 0.239 0.239
0.011 0.759 0.759
0.000 0.000 0.000
0.500 0.000 0.000
0.000 0.000 0.500
0.000 0.500 0.000
0.500 0.000 0.500
0.500 0.500 0.500
0.500 0.500 0.000
```

=====

[6]
Here is a geometry-optimized La2Pr3Dy7 structure from the Alexandria database. Energies are from PBE-GGA.

## Properties
Its raw total energy is -4.613 eV per atom. The magnetic moment is 0.00 μB per formula unit. As for the crystal system: monoclinic. For the density of states at the Fermi level, the calculation gives 18.70 states/eV per cell. The formation energy is 0.087 eV/atom. The density comes out at 7.525 g/cm³.

```
La2Pr3Dy7
1.0
3.569 0.000 0.000
0.000 6.392 0.741
0.000 2.407 18.057
Pr Dy La
3 7 2
Direct
0.000 0.117 0.341
0.000 0.883 0.659
0.500 0.500 0.000
0.500 0.754 0.501
0.500 0.938 0.836
0.500 0.246 0.499
0.500 0.062 0.164
0.000 0.000 0.000
0.000 0.565 0.163
0.000 0.435 0.837
0.500 0.621 0.327
0.500 0.379 0.673
```

=====

[7]
Here is a geometry-optimized Pm2UPaP4 structure from the Alexandria database. Energies are from PBE-GGA.

## Properties
Its raw total energy is -7.838 eV per atom. The magnetic moment is 2.44 μB per formula unit. As for the crystal system: monoclinic. For the density of states at the Fermi level, the calculation gives 10.92 states/eV per cell. The formation energy is -1.348 eV/atom. The density comes out at 7.875 g/cm³.

```
Pm2UPaP4
1.0
-3.593 -1.203 1.349
-1.101 -3.410 -5.975
3.162 -4.306 4.582
U Pa P Pm
1 1 4 2
Direct
0.000 0.000 0.000
0.500 0.500 0.000
0.500 0.756 0.765
0.000 0.746 0.236
0.500 0.244 0.235
0.000 0.254 0.764
0.000 0.500 0.500
0.500 0.000 0.500
```

=====

[8]
Here is a geometry-optimized SmY6Sc structure from the Alexandria database. Energies are from PBE-GGA.

## Properties
Its raw total energy is -5.541 eV per atom. The magnetic moment is 0.00 μB per formula unit. As for the crystal system: triclinic. For the density of states at the Fermi level, the calculation gives 9.94 states/eV per cell. The formation energy is 0.688 eV/atom. The density comes out at 4.519 g/cm³.

```
SmY6Sc
1.0
-1.716 2.094 6.074
-5.776 -1.944 2.674
0.658 -5.509 5.725
Y Sc Sm
6 1 1
Direct
0.048 0.440 0.753
0.562 0.240 0.247
0.241 0.951 0.247
0.438 0.760 0.753
0.759 0.049 0.753
0.952 0.560 0.247
0.000 0.000 0.000
0.500 0.500 0.500
```

=====

| no. | volume (A^3/atom) |
| --- | --- |
| 1 | 18.73 |
| 2 | 26.05 |
| 3 | 34.13 |
| 4 | 26.11 |
| 5 | 24.20 |
| 6 | 33.80 |
| 7 | 23.27 |
| 8 | 33.48 |